# ScIrSBr2, optimized geometry, DFT GGA-PBE
data_ScIrSBr2
_chemical_formula_sum 'Sc1 Ir1 S1 Br2'
_space_group_name_H-M_alt 'P 1'
_space_group_IT_number 1
_cell_length_a 5.279
_cell_length_b 4.445
_cell_length_c 5.279
_cell_angle_alpha 90.00
_cell_angle_beta 90.00
_cell_angle_gamma 90.00
loop_
_space_group_symop_operation_xyz
'x,y,z'
loop_
_atom_site_label
_atom_site_type_symbol
_atom_site_fract_x
_atom_site_fract_y
_atom_site_fract_z
S1 S 0.000 0.500 0.000
Br1 Br 0.000 0.000 0.500
Br2 Br 0.500 0.000 0.000
Sc1 Sc 0.500 0.500 0.500
Ir1 Ir 0.000 0.000 0.000
# total magnetization: 1.194 μB/cell
# ΔE_f (raw): 6.1 kJ/mol of atoms